VFe3Cl | Alexandria via LeMat-Bulk | PBE | relaxed; energy above the most stable polymorph in this dataset = 0 meV/atom; ΔE_f (raw) = 0.934 eV per atom; total moment = 6.30 μB per cell; space-group type = Pm-3m, No. 221
1.0
4.0834 0.0000 0.0000
0.0000 4.0834 0.0000
0.0000 0.0000 4.0834
Cl Fe V
1 3 1
direct
0.0000 0.0000 0.0000
0.0000 0.0000 0.5000
0.5000 0.0000 0.0000
0.0000 0.5000 0.0000
0.5000 0.5000 0.5000